(1)
This record from the Alexandria database describes crystalline PuTi2Ge at its relaxed geometry. The functional is PBE.

Calculated values
formation enthalpy at 0 K = -0.29 eV/atom
offset from the most stable computed form = 0.000 eV per atom
total moment = 1.318 μB per atom
SG = P4/mmm, No. 123
total energy = -8.972 eV per atom

Cell lengths 3.827, 4.305, 4.305 Å; angles 90.00, 90.00, 90.00 degrees
Site moments in Bohr magnetons follow the coordinates.
Atoms (fractional coordinates):
Ge: 0.500 0.500 0.500  -0.05
Ti: 0.000 0.000 0.500  0.13
Ti: 0.000 0.500 0.000  0.13
Pu: 0.500 0.000 0.000  4.91


(2)
This record from the Alexandria database describes crystalline Ag2TeS at its relaxed geometry. The functional is PBE.

Calculated values
formation energy without anion corrections = 93.7 meV per atom
offset from the most stable computed form = 0.093 eV per atom
total moment = 0.000 μB per atom
SG = Pnma, No. 62
total energy = -3.149 eV per atom

Cell lengths 5.841, 8.483, 7.200 Å; angles 90.00, 90.00, 90.00 degrees
Atoms (fractional coordinates):
Ag: 0.813 0.121 0.791
Ag: 0.313 0.879 0.209
Ag: 0.313 0.621 0.709
Ag: 0.813 0.379 0.291
Ag: 0.312 0.121 0.791
Ag: 0.812 0.879 0.209
Ag: 0.812 0.621 0.709
Ag: 0.312 0.379 0.291
Te: 0.063 0.612 0.061
Te: 0.563 0.388 0.939
Te: 0.563 0.112 0.439
Te: 0.063 0.888 0.561
S: 0.063 0.136 0.087
S: 0.563 0.864 0.913
S: 0.563 0.636 0.413
S: 0.063 0.364 0.587


> What is the offset from the most stable computed form in the first record?

0.000 eV per atom


Copy entry 1 word for word.
This record from the Alexandria database describes crystalline PuTi2Ge at its relaxed geometry. The functional is PBE.

Calculated values
formation enthalpy at 0 K = -0.29 eV/atom
offset from the most stable computed form = 0.000 eV per atom
total moment = 1.318 μB per atom
SG = P4/mmm, No. 123
total energy = -8.972 eV per atom

Cell lengths 3.827, 4.305, 4.305 Å; angles 90.00, 90.00, 90.00 degrees
Site moments in Bohr magnetons follow the coordinates.
Atoms (fractional coordinates):
Ge: 0.500 0.500 0.500  -0.05
Ti: 0.000 0.000 0.500  0.13
Ti: 0.000 0.500 0.000  0.13
Pu: 0.500 0.000 0.000  4.91


Copy entry 1 word for word.
This record from the Alexandria database describes crystalline PuTi2Ge at its relaxed geometry. The functional is PBE.

Calculated values
formation enthalpy at 0 K = -0.29 eV/atom
offset from the most stable computed form = 0.000 eV per atom
total moment = 1.318 μB per atom
SG = P4/mmm, No. 123
total energy = -8.972 eV per atom

Cell lengths 3.827, 4.305, 4.305 Å; angles 90.00, 90.00, 90.00 degrees
Site moments in Bohr magnetons follow the coordinates.
Atoms (fractional coordinates):
Ge: 0.500 0.500 0.500  -0.05
Ti: 0.000 0.000 0.500  0.13
Ti: 0.000 0.500 0.000  0.13
Pu: 0.500 0.000 0.000  4.91